1.
An optimized crystal structure of Rb4Ag3GeCl12. Source: Alexandria, functional PBE.

Results
Electronic total energy, eV/atom: -3.121
Fermi-level density of states, states/eV per cell: 4.449
ρ, g/cm³: 3.4
Formation energy without anion corrections, eV per atom: -1.16
Space group: Im-3m (229)

Cell lengths 9.0059, 9.0059, 9.0059 Å; angles 109.47, 109.47, 109.47 degrees
Sites, in units of the cell vectors:
Rb1 0.0000 0.0000 0.5000
Rb2 0.0000 0.5000 0.0000
Rb3 0.5000 0.0000 0.0000
Rb4 0.5000 0.5000 0.5000
Ag1 0.0000 0.5000 0.5000
Ag2 0.5000 0.0000 0.5000
Ag3 0.5000 0.5000 0.0000
Ge1 0.0000 0.0000 0.0000
Cl1 0.0000 0.2249 0.2249
Cl2 0.0000 0.7751 0.7751
Cl3 0.2249 0.0000 0.2249
Cl4 0.2249 0.2249 0.0000
Cl5 0.2500 0.5000 0.7500
Cl6 0.2500 0.7500 0.5000
Cl7 0.5000 0.2500 0.7500
Cl8 0.5000 0.7500 0.2500
Cl9 0.7500 0.2500 0.5000
Cl10 0.7500 0.5000 0.2500
Cl11 0.7751 0.0000 0.7751
Cl12 0.7751 0.7751 0.0000



2.
An optimized crystal structure of Nd12SmIn6. Source: Alexandria, functional PBE.

Results
Electronic total energy, eV/atom: -4.360
Fermi-level density of states, states/eV per cell: 19.471
ρ, g/cm³: 7.2
Energy of formation, eV per atom: -0.24
Space group: R-3 (148)

Cell lengths 8.4010, 8.4010, 8.4010 Å; angles 89.17, 89.17, 89.17 degrees
Sites, in units of the cell vectors:
Nd1 0.0735 0.1242 0.3842
Nd2 0.1242 0.3842 0.0735
Nd3 0.1915 0.4724 0.5666
Nd4 0.3842 0.0735 0.1242
Nd5 0.4334 0.8085 0.5276
Nd6 0.4724 0.5666 0.1915
Nd7 0.5276 0.4334 0.8085
Nd8 0.5666 0.1915 0.4724
Nd9 0.6158 0.9265 0.8758
Nd10 0.8085 0.5276 0.4334
Nd11 0.8758 0.6158 0.9265
Nd12 0.9265 0.8758 0.6158
Sm1 0.0000 0.0000 0.0000
In1 0.1217 0.7421 0.2740
In2 0.2579 0.7260 0.8783
In3 0.2740 0.1217 0.7421
In4 0.7260 0.8783 0.2579
In5 0.7421 0.2740 0.1217
In6 0.8783 0.2579 0.7260



3.
An optimized crystal structure of RbPa3S6. Source: Alexandria, functional PBE.

Results
Electronic total energy, eV/atom: -6.993
Fermi-level density of states, states/eV per cell: 24.190
ρ, g/cm³: 6.2
Formation energy without anion corrections, eV per atom: -1.57
Space group: P2_1/m (11)

Cell lengths 11.4464, 4.1219, 11.6917 Å; angles 90.00, 108.34, 90.00 degrees
Sites, in units of the cell vectors:
Rb1 0.0837 0.2500 0.1916
Rb2 0.9163 0.7500 0.8084
Pa1 0.1654 0.2500 0.5729
Pa2 0.3237 0.7500 0.9900
Pa3 0.4978 0.7500 0.6640
Pa4 0.5022 0.2500 0.3360
Pa5 0.6763 0.2500 0.0100
Pa6 0.8346 0.7500 0.4271
S1 0.0708 0.7500 0.4129
S2 0.1615 0.2500 0.9421
S3 0.2642 0.7500 0.7242
S4 0.3357 0.7500 0.2336
S5 0.3737 0.2500 0.5065
S6 0.4750 0.2500 0.0935
S7 0.5250 0.7500 0.9065
S8 0.6263 0.7500 0.4935
S9 0.6643 0.2500 0.7664
S10 0.7358 0.2500 0.2758
S11 0.8385 0.7500 0.0579
S12 0.9292 0.2500 0.5871



4.
An optimized crystal structure of Ta2InCo. Source: Alexandria, functional PBE.

Results
Electronic total energy, eV/atom: -8.237
Fermi-level density of states, states/eV per cell: 3.804
ρ, g/cm³: 13.2
Energy of formation, eV per atom: 0.15
Space group: Pmmm (47)

Cell lengths 3.7320, 4.1442, 4.3706 Å; angles 90.00, 90.00, 90.00 degrees
Sites, in units of the cell vectors:
Ta1 0.0000 0.0000 0.0000
Ta2 0.5000 0.5000 0.0000
In1 0.0000 0.5000 0.5000
Co1 0.5000 0.0000 0.5000



5.
An optimized crystal structure of PmTlAsO3. Source: Alexandria, functional PBE.

Results
Electronic total energy, eV/atom: -6.193
Fermi-level density of states, states/eV per cell: 0.397
ρ, g/cm³: 7.3
Formation energy without anion corrections, eV per atom: -1.75
Space group: C2/m (12)

Cell lengths 7.3165, 7.3165, 7.9294 Å; angles 103.26, 103.26, 31.34 degrees
Sites, in units of the cell vectors:
Pm1 0.1489 0.1489 0.0425
Pm2 0.8511 0.8511 0.9575
Tl1 0.1501 0.1501 0.5957
Tl2 0.8499 0.8499 0.4043
As1 0.4787 0.4787 0.7706
As2 0.5213 0.5213 0.2294
O1 0.0082 0.0082 0.1840
O2 0.3176 0.3176 0.1159
O3 0.3461 0.3461 0.7541
O4 0.6539 0.6539 0.2459
O5 0.6824 0.6824 0.8841
O6 0.9918 0.9918 0.8160



6.
An optimized crystal structure of Mg4ScPt5. Source: Alexandria, functional PBE.

Results
Electronic total energy, eV/atom: -5.245
Fermi-level density of states, states/eV per cell: 1.879
ρ, g/cm³: 11.4
Energy of formation, eV per atom: -0.95
Space group: P4/mmm (123)

Cell lengths 3.2984, 3.2984, 15.0166 Å; angles 90.00, 90.00, 90.00 degrees
Sites, in units of the cell vectors:
Mg1 0.0000 0.0000 0.0978
Mg2 0.0000 0.0000 0.2937
Mg3 0.0000 0.0000 0.7063
Mg4 0.0000 0.0000 0.9022
Sc1 0.0000 0.0000 0.5000
Pt1 0.5000 0.5000 0.0000
Pt2 0.5000 0.5000 0.1979
Pt3 0.5000 0.5000 0.3974
Pt4 0.5000 0.5000 0.6026
Pt5 0.5000 0.5000 0.8021



7.
An optimized crystal structure of DyY3Ho6. Source: Alexandria, functional PBE.

Results
Electronic total energy, eV/atom: -5.014
Excess energy over the best structure of this formula in the dataset, meV/atom: 0
Fermi-level density of states, states/eV per cell: 24.896
ρ, g/cm³: 7.4
Energy of formation, eV per atom: 0.13
Space group: Cmc2_1 (36)

Cell lengths 9.0004, 9.0004, 8.8745 Å; angles 90.00, 90.00, 117.32 degrees
Sites, in units of the cell vectors:
Dy1 0.2211 0.7789 0.5000
Dy2 0.7789 0.2211 0.0000
Y1 0.0275 0.3229 0.6072
Y2 0.3229 0.0275 0.1072
Y3 0.4502 0.5498 0.6191
Y4 0.5498 0.4502 0.1191
Y5 0.6771 0.9725 0.6072
Y6 0.9725 0.6771 0.1072
Ho1 0.0536 0.9464 0.7461
Ho2 0.1769 0.4707 0.2587
Ho3 0.1871 0.3036 0.9335
Ho4 0.2824 0.7176 0.8679
Ho5 0.3036 0.1871 0.4335
Ho6 0.4707 0.1769 0.7587
Ho7 0.5293 0.8231 0.2587
Ho8 0.6964 0.8129 0.9335
Ho9 0.7176 0.2824 0.3679
Ho10 0.8129 0.6964 0.4335
Ho11 0.8231 0.5293 0.7587
Ho12 0.9464 0.0536 0.2461



8.
An optimized crystal structure of Zn2AgOs. Source: Alexandria, functional PBE.

Results
Electronic total energy, eV/atom: -3.944
Excess energy over the best structure of this formula in the dataset, meV/atom: 100
Fermi-level density of states, states/eV per cell: 4.801
ρ, g/cm³: 11.9
Energy of formation, eV per atom: 0.21
Space group: Cm (8)

Cell lengths 9.9661, 2.7358, 4.7088 Å; angles 90.00, 110.86, 90.00 degrees
Sites, in units of the cell vectors:
Zn1 0.0000 0.0000 0.0000
Zn2 0.2482 0.5000 0.4082
Zn3 0.5000 0.5000 0.0000
Zn4 0.7482 0.0000 0.4082
Ag1 0.2488 0.0000 0.9038
Ag2 0.7488 0.5000 0.9038
Os1 0.4921 0.0000 0.4890
Os2 0.9921 0.5000 0.4890



9.
An optimized crystal structure of KPb3F. Source: Alexandria, functional PBE.

Results
Electronic total energy, eV/atom: -3.325
Excess energy over the best structure of this formula in the dataset, meV/atom: 0
Fermi-level density of states, states/eV per cell: 3.385
ρ, g/cm³: 7.5
Formation energy without anion corrections, eV per atom: -0.51
Space group: Pm-3m (221)

Cell lengths 5.3241, 5.3241, 5.3241 Å; angles 90.00, 90.00, 90.00 degrees
Sites, in units of the cell vectors:
K1 0.0000 0.0000 0.0000
Pb1 0.0000 0.5000 0.5000
Pb2 0.5000 0.0000 0.5000
Pb3 0.5000 0.5000 0.0000
F1 0.5000 0.5000 0.5000



10.
An optimized crystal structure of LuZrBeRh. Source: Alexandria, functional PBE.

Results
Electronic total energy, eV/atom: -6.406
Fermi-level density of states, states/eV per cell: 15.355
ρ, g/cm³: 8.7
Energy of formation, eV per atom: -0.37
Space group: F-43m (216)

Cell lengths 6.6168, 6.6168, 6.6168 Å; angles 90.00, 90.00, 90.00 degrees
Sites, in units of the cell vectors:
Lu1 0.0000 0.0000 0.0000
Lu2 0.0000 0.5000 0.5000
Lu3 0.5000 0.0000 0.5000
Lu4 0.5000 0.5000 0.0000
Zr1 0.0000 0.0000 0.5000
Zr2 0.0000 0.5000 0.0000
Zr3 0.5000 0.0000 0.0000
Zr4 0.5000 0.5000 0.5000
Be1 0.2500 0.2500 0.2500
Be2 0.2500 0.7500 0.7500
Be3 0.7500 0.2500 0.7500
Be4 0.7500 0.7500 0.2500
Rh1 0.2500 0.2500 0.7500
Rh2 0.2500 0.7500 0.2500
Rh3 0.7500 0.2500 0.2500
Rh4 0.7500 0.7500 0.7500



11.
An optimized crystal structure of SrAc6Pt3. Source: Alexandria, functional PBE.

Results
Electronic total energy, eV/atom: -5.142
Fermi-level density of states, states/eV per cell: 20.841
ρ, g/cm³: 8.5
Energy of formation, eV per atom: -0.70
Space group: P2_1/m (11)

Cell lengths 13.6051, 4.3996, 13.6498 Å; angles 90.00, 102.37, 90.00 degrees
Sites, in units of the cell vectors:
Sr1 0.1381 0.2500 0.0318
Sr2 0.8619 0.7500 0.9682
Ac1 0.0380 0.7500 0.7620
Ac2 0.1386 0.2500 0.5241
Ac3 0.2560 0.7500 0.3212
Ac4 0.3026 0.2500 0.8034
Ac5 0.4013 0.7500 0.0631
Ac6 0.4492 0.7500 0.6118
Ac7 0.5508 0.2500 0.3882
Ac8 0.5987 0.2500 0.9369
Ac9 0.6974 0.7500 0.1966
Ac10 0.7440 0.2500 0.6788
Ac11 0.8614 0.7500 0.4759
Ac12 0.9620 0.2500 0.2380
Pt1 0.0504 0.7500 0.3770
Pt2 0.3505 0.2500 0.4657
Pt3 0.4544 0.7500 0.8511
Pt4 0.5456 0.2500 0.1489
Pt5 0.6495 0.7500 0.5343
Pt6 0.9496 0.2500 0.6230



12.
An optimized crystal structure of CsLi2CdH. Source: Alexandria, functional PBE.

Results
Electronic total energy, eV/atom: -1.400
Fermi-level density of states, states/eV per cell: 2.927
ρ, g/cm³: 2.1
Space group: P4/mmm (123)

Cell lengths 5.1938, 5.1938, 7.7078 Å; angles 90.00, 90.00, 90.00 degrees
Sites, in units of the cell vectors:
Cs1 0.0000 0.0000 0.0000
Li1 0.0000 0.5000 0.5000
Li2 0.5000 0.0000 0.5000
Cd1 0.0000 0.0000 0.5000
H1 0.5000 0.5000 0.0000



Question: The lowest ρ belongs to which entry?
Answer: CsLi2CdH